Entry 1:
VASP calculation (PBE) on Li3ErCl6 after structural relaxation.

```
data_Li3ErCl6
_chemical_formula_sum 'Li6 Er2 Cl12'
_symmetry_space_group_name_H-M 'P 1'
_symmetry_Int_Tables_number 1
_cell_length_a 6.6105
_cell_length_b 6.6579
_cell_length_c 12.1723
_cell_angle_alpha 90.00
_cell_angle_beta 122.89
_cell_angle_gamma 90.00
loop_
_symmetry_equiv_pos_as_xyz
'x,y,z'
loop_
_atom_site_label
_atom_site_fract_x
_atom_site_fract_y
_atom_site_fract_z
Li1 0.0000 0.0000 0.0000
Li2 0.0000 0.5000 0.5000
Li3 0.2178 0.0189 0.7323
Li4 0.2178 0.4811 0.2323
Li5 0.7822 0.5189 0.7677
Li6 0.7822 0.9811 0.2677
Er1 0.5000 0.0000 0.5000
Er2 0.5000 0.5000 0.0000
Cl1 0.1306 0.1097 0.2665
Cl2 0.1306 0.3903 0.7665
Cl3 0.2174 0.6796 0.0588
Cl4 0.2174 0.8204 0.5588
Cl5 0.4319 0.1715 0.0932
Cl6 0.4319 0.3285 0.5932
Cl7 0.5681 0.6715 0.4068
Cl8 0.5681 0.8285 0.9068
Cl9 0.7826 0.1796 0.4412
Cl10 0.7826 0.3204 0.9412
Cl11 0.8694 0.6097 0.2335
Cl12 0.8694 0.8903 0.7335
```

Output
**Relative energy among the computed polymorphs**: 2.3 kJ/mol of atoms
**Density of states at the Fermi level**: 0.0 states/eV/f.u.

Entry 2:
VASP calculation (PBE) on LiErCl4 after structural relaxation.

```
data_LiErCl4
_chemical_formula_sum 'Li1 Er1 Cl4'
_symmetry_space_group_name_H-M 'P 1'
_symmetry_Int_Tables_number 1
_cell_length_a 6.6199
_cell_length_b 3.9018
_cell_length_c 6.6924
_cell_angle_alpha 90.00
_cell_angle_beta 95.84
_cell_angle_gamma 90.00
loop_
_symmetry_equiv_pos_as_xyz
'x,y,z'
loop_
_atom_site_label
_atom_site_fract_x
_atom_site_fract_y
_atom_site_fract_z
Li1 0.0000 0.0000 0.0000
Er1 0.0000 0.5000 0.5000
Cl1 0.1982 0.5000 0.1873
Cl2 0.2262 0.0000 0.6745
Cl3 0.7738 0.0000 0.3255
Cl4 0.8018 0.5000 0.8127
```

Output
**Relative energy among the computed polymorphs**: 0.0 kJ/mol of atoms
**Density of states at the Fermi level**: 0.0 states/eV/f.u.

Entry 3:
VASP calculation (PBE) on LiErMgCl6 after structural relaxation.

```
data_LiErMgCl6
_chemical_formula_sum 'Li2 Er2 Mg2 Cl12'
_symmetry_space_group_name_H-M 'P 1'
_symmetry_Int_Tables_number 1
_cell_length_a 6.5297
_cell_length_b 6.5297
_cell_length_c 11.8768
_cell_angle_alpha 90.00
_cell_angle_beta 90.00
_cell_angle_gamma 120.00
loop_
_symmetry_equiv_pos_as_xyz
'x,y,z'
loop_
_atom_site_label
_atom_site_fract_x
_atom_site_fract_y
_atom_site_fract_z
Li1 0.0000 0.0000 0.0000
Li2 0.0000 0.0000 0.5000
Er1 0.3333 0.6667 0.2500
Er2 0.6667 0.3333 0.7500
Mg1 0.3333 0.6667 0.7500
Mg2 0.6667 0.3333 0.2500
Cl1 0.0116 0.3505 0.6290
Cl2 0.0116 0.6611 0.8710
Cl3 0.3389 0.3505 0.8710
Cl4 0.3389 0.9884 0.6290
Cl5 0.3505 0.0116 0.1290
Cl6 0.3505 0.3389 0.3710
Cl7 0.6495 0.6611 0.6290
Cl8 0.6495 0.9884 0.8710
Cl9 0.6611 0.0116 0.3710
Cl10 0.6611 0.6495 0.1290
Cl11 0.9884 0.3389 0.1290
Cl12 0.9884 0.6495 0.3710
```

Output
**Density of states at the Fermi level**: 0.0 states/eV/f.u.

Entry 4:
VASP calculation (PBE) on NaLiErCl5 after structural relaxation.

```
data_NaLiErCl5
_chemical_formula_sum 'Na2 Li2 Er2 Cl10'
_symmetry_space_group_name_H-M 'P 1'
_symmetry_Int_Tables_number 1
_cell_length_a 7.2930
_cell_length_b 7.2930
_cell_length_c 9.6902
_cell_angle_alpha 102.30
_cell_angle_beta 102.30
_cell_angle_gamma 112.49
loop_
_symmetry_equiv_pos_as_xyz
'x,y,z'
loop_
_atom_site_label
_atom_site_fract_x
_atom_site_fract_y
_atom_site_fract_z
Na1 0.1071 0.8929 0.7500
Na2 0.8929 0.1071 0.2500
Li1 0.2033 0.7967 0.2500
Li2 0.7967 0.2033 0.7500
Er1 0.5000 0.5000 0.0000
Er2 0.5000 0.5000 0.5000
Cl1 0.1014 0.2501 0.9389
Cl2 0.1686 0.5301 0.3613
Cl3 0.2501 0.1014 0.4389
Cl4 0.4097 0.5903 0.7500
Cl5 0.4699 0.8314 0.1387
Cl6 0.5301 0.1686 0.8613
Cl7 0.5903 0.4097 0.2500
Cl8 0.7499 0.8986 0.5611
Cl9 0.8314 0.4699 0.6387
Cl10 0.8986 0.7499 0.0611
```

Output
**Density of states at the Fermi level**: 0.0 states/eV/f.u.

Entry 5:
VASP calculation (PBE) on NaLi2ErCl6 after structural relaxation.

```
data_NaLi2ErCl6
_chemical_formula_sum 'Na1 Li2 Er1 Cl6'
_symmetry_space_group_name_H-M 'P 1'
_symmetry_Int_Tables_number 1
_cell_length_a 7.2284
_cell_length_b 7.2284
_cell_length_c 7.2284
_cell_angle_alpha 54.96
_cell_angle_beta 54.96
_cell_angle_gamma 54.96
loop_
_symmetry_equiv_pos_as_xyz
'x,y,z'
loop_
_atom_site_label
_atom_site_fract_x
_atom_site_fract_y
_atom_site_fract_z
Na1 0.0000 0.0000 0.0000
Li1 0.2941 0.2941 0.2941
Li2 0.7996 0.7996 0.7996
Er1 0.4911 0.4911 0.4911
Cl1 0.0804 0.6844 0.4318
Cl2 0.2154 0.5703 0.8993
Cl3 0.4318 0.0804 0.6844
Cl4 0.5703 0.8993 0.2154
Cl5 0.6844 0.4318 0.0804
Cl6 0.8993 0.2154 0.5703
```

Output
**Density of states at the Fermi level**: 0.0 states/eV/f.u.

Entry 6:
VASP calculation (PBE) on Li2ErNpCl8 after structural relaxation.

```
data_Li2ErNpCl8
_chemical_formula_sum 'Li2 Er1 Np1 Cl8'
_symmetry_space_group_name_H-M 'P 1'
_symmetry_Int_Tables_number 1
_cell_length_a 6.3146
_cell_length_b 6.4005
_cell_length_c 8.0285
_cell_angle_alpha 90.38
_cell_angle_beta 90.39
_cell_angle_gamma 94.72
loop_
_symmetry_equiv_pos_as_xyz
'x,y,z'
loop_
_atom_site_label
_atom_site_fract_x
_atom_site_fract_y
_atom_site_fract_z
Li1 0.0006 0.0013 0.2579
Li2 0.9994 0.9987 0.7421
Er1 0.5000 0.5000 0.5000
Np1 0.5000 0.5000 0.0000
Cl1 0.1976 0.1792 0.0053
Cl2 0.2054 0.1888 0.5018
Cl3 0.2946 0.6810 0.2600
Cl4 0.2986 0.6854 0.7397
Cl5 0.7014 0.3146 0.2603
Cl6 0.7054 0.3190 0.7400
Cl7 0.7946 0.8112 0.4982
Cl8 0.8024 0.8208 0.9947
```

Output
**Density of states at the Fermi level**: 5.4 states/eV/f.u.

Entry 7:
VASP calculation (PBE) on LiErPuCl6 after structural relaxation.

```
data_LiErPuCl6
_chemical_formula_sum 'Li2 Er2 Pu2 Cl12'
_symmetry_space_group_name_H-M 'P 1'
_symmetry_Int_Tables_number 1
_cell_length_a 6.6833
_cell_length_b 6.6833
_cell_length_c 12.5781
_cell_angle_alpha 90.00
_cell_angle_beta 90.00
_cell_angle_gamma 120.00
loop_
_symmetry_equiv_pos_as_xyz
'x,y,z'
loop_
_atom_site_label
_atom_site_fract_x
_atom_site_fract_y
_atom_site_fract_z
Li1 0.3333 0.6667 0.2500
Li2 0.6667 0.3333 0.7500
Er1 0.3333 0.6667 0.7500
Er2 0.6667 0.3333 0.2500
Pu1 0.0000 0.0000 0.0000
Pu2 0.0000 0.0000 0.5000
Cl1 0.0029 0.3528 0.1330
Cl2 0.0029 0.6501 0.3670
Cl3 0.3499 0.3528 0.3670
Cl4 0.3499 0.9971 0.1330
Cl5 0.3528 0.0029 0.6330
Cl6 0.3528 0.3499 0.8670
Cl7 0.6472 0.6501 0.1330
Cl8 0.6472 0.9971 0.3670
Cl9 0.6501 0.0029 0.8670
Cl10 0.6501 0.6472 0.6330
Cl11 0.9971 0.3499 0.6330
Cl12 0.9971 0.6472 0.8670
```

Output
**Density of states at the Fermi level**: 18.0 states/eV/f.u.

Entry 8:
VASP calculation (PBE) on Rb3Li2ErCl9 after structural relaxation.

```
data_Rb3Li2ErCl9
_chemical_formula_sum 'Rb3 Li2 Er1 Cl9'
_symmetry_space_group_name_H-M 'P 1'
_symmetry_Int_Tables_number 1
_cell_length_a 7.2570
_cell_length_b 7.2570
_cell_length_c 9.1183
_cell_angle_alpha 90.00
_cell_angle_beta 90.00
_cell_angle_gamma 120.00
loop_
_symmetry_equiv_pos_as_xyz
'x,y,z'
loop_
_atom_site_label
_atom_site_fract_x
_atom_site_fract_y
_atom_site_fract_z
Rb1 0.0000 0.0000 0.0000
Rb2 0.3333 0.6667 0.6789
Rb3 0.6667 0.3333 0.3211
Li1 0.3333 0.6667 0.1563
Li2 0.6667 0.3333 0.8437
Er1 0.0000 0.0000 0.5000
Cl1 0.0000 0.5000 0.0000
Cl2 0.1682 0.3364 0.3332
Cl3 0.1682 0.8318 0.3332
Cl4 0.3364 0.1682 0.6668
Cl5 0.5000 0.0000 0.0000
Cl6 0.5000 0.5000 0.0000
Cl7 0.6636 0.8318 0.3332
Cl8 0.8318 0.1682 0.6668
Cl9 0.8318 0.6636 0.6668
```

Output
**Density of states at the Fermi level**: 13.0 states/eV/f.u.

Entry 9:
VASP calculation (PBE) on Rb3Li2ErCl8 after structural relaxation.

```
data_Rb3Li2ErCl8
_chemical_formula_sum 'Rb3 Li2 Er1 Cl8'
_symmetry_space_group_name_H-M 'P 1'
_symmetry_Int_Tables_number 1
_cell_length_a 7.3362
_cell_length_b 7.3362
_cell_length_c 9.4075
_cell_angle_alpha 90.00
_cell_angle_beta 90.00
_cell_angle_gamma 120.00
loop_
_symmetry_equiv_pos_as_xyz
'x,y,z'
loop_
_atom_site_label
_atom_site_fract_x
_atom_site_fract_y
_atom_site_fract_z
Rb1 0.0000 0.0000 0.0000
Rb2 0.3333 0.6667 0.6433
Rb3 0.6667 0.3333 0.3567
Li1 0.3333 0.6667 0.2044
Li2 0.6667 0.3333 0.7956
Er1 0.0000 0.0000 0.5000
Cl1 0.1657 0.3314 0.3358
Cl2 0.1657 0.8343 0.3358
Cl3 0.3314 0.1657 0.6642
Cl4 0.3333 0.6667 0.9695
Cl5 0.6667 0.3333 0.0305
Cl6 0.6686 0.8343 0.3358
Cl7 0.8343 0.1657 0.6642
Cl8 0.8343 0.6686 0.6642
```

Output
**Density of states at the Fermi level**: 0.0 states/eV/f.u.

Entry 10:
VASP calculation (PBE) on RbLi2ErCl6 after structural relaxation.

```
data_RbLi2ErCl6
_chemical_formula_sum 'Rb1 Li2 Er1 Cl6'
_symmetry_space_group_name_H-M 'P 1'
_symmetry_Int_Tables_number 1
_cell_length_a 6.6419
_cell_length_b 6.6428
_cell_length_c 8.4262
_cell_angle_alpha 66.92
_cell_angle_beta 66.83
_cell_angle_gamma 60.09
loop_
_symmetry_equiv_pos_as_xyz
'x,y,z'
loop_
_atom_site_label
_atom_site_fract_x
_atom_site_fract_y
_atom_site_fract_z
Rb1 0.0000 0.0000 0.0000
Li1 0.1726 0.1756 0.4765
Li2 0.8259 0.8259 0.5232
Er1 0.4996 0.5002 0.4999
Cl1 0.1019 0.4427 0.6884
Cl2 0.2325 0.8970 0.3121
Cl3 0.4426 0.7674 0.6882
Cl4 0.5572 0.2325 0.3118
Cl5 0.7664 0.1037 0.6883
Cl6 0.8975 0.5572 0.3110
```

Output
**Density of states at the Fermi level**: 0.0 states/eV/f.u.

Entry 11:
VASP calculation (PBE) on LiErSnCl6 after structural relaxation.

```
data_LiErSnCl6
_chemical_formula_sum 'Li2 Er2 Sn2 Cl12'
_symmetry_space_group_name_H-M 'P 1'
_symmetry_Int_Tables_number 1
_cell_length_a 6.7008
_cell_length_b 6.7008
_cell_length_c 12.4697
_cell_angle_alpha 90.00
_cell_angle_beta 90.00
_cell_angle_gamma 120.00
loop_
_symmetry_equiv_pos_as_xyz
'x,y,z'
loop_
_atom_site_label
_atom_site_fract_x
_atom_site_fract_y
_atom_site_fract_z
Li1 0.3333 0.6667 0.2500
Li2 0.6667 0.3333 0.7500
Er1 0.3333 0.6667 0.7500
Er2 0.6667 0.3333 0.2500
Sn1 0.0000 0.0000 0.0000
Sn2 0.0000 0.0000 0.5000
Cl1 0.0024 0.3545 0.1325
Cl2 0.0024 0.6479 0.3675
Cl3 0.3521 0.3545 0.3675
Cl4 0.3521 0.9976 0.1325
Cl5 0.3545 0.0024 0.6325
Cl6 0.3545 0.3521 0.8675
Cl7 0.6455 0.6479 0.1325
Cl8 0.6455 0.9976 0.3675
Cl9 0.6479 0.0024 0.8675
Cl10 0.6479 0.6455 0.6325
Cl11 0.9976 0.3521 0.6325
Cl12 0.9976 0.6455 0.8675
```

Output
**Density of states at the Fermi level**: 0.0 states/eV/f.u.

Entry 12:
VASP calculation (PBE) on Li2ErTlCl6 after structural relaxation.

```
data_Li2ErTlCl6
_chemical_formula_sum 'Li2 Er1 Tl1 Cl6'
_symmetry_space_group_name_H-M 'P 1'
_symmetry_Int_Tables_number 1
_cell_length_a 8.5750
_cell_length_b 8.5750
_cell_length_c 8.5750
_cell_angle_alpha 45.27
_cell_angle_beta 45.27
_cell_angle_gamma 45.27
loop_
_symmetry_equiv_pos_as_xyz
'x,y,z'
loop_
_atom_site_label
_atom_site_fract_x
_atom_site_fract_y
_atom_site_fract_z
Li1 0.1725 0.1725 0.1725
Li2 0.8275 0.8275 0.8275
Er1 0.5000 0.5000 0.5000
Tl1 0.0000 0.0000 0.0000
Cl1 0.1049 0.4368 0.7723
Cl2 0.2277 0.8951 0.5632
Cl3 0.4368 0.7723 0.1049
Cl4 0.5632 0.2277 0.8951
Cl5 0.7723 0.1049 0.4368
Cl6 0.8951 0.5632 0.2277
```

Output
**Density of states at the Fermi level**: 0.0 states/eV/f.u.

Looking at energy relative to the elements, uncorrected for the records above, in order, we have -1.960 -2.103 -2.009 -2.035 -1.994 -1.901 -1.973 -1.846 -1.989 -2.052 -1.742 -1.857 eV per atom.